(1)
MnCuIr4: relaxed, PBE-GGA.

Computed properties:
DFT formation energy, eV/atom: 0.423
DFT total energy, eV per atom: -7.70

Lattice parameters (Å, degrees): 5.146 5.146 5.146 60.00 60.00 60.00
Fractional coordinates of all 6 atoms:
Mn 0.000 0.000 0.000
Cu 0.250 0.250 0.250
Ir 0.125 0.625 0.625
Ir 0.625 0.125 0.625
Ir 0.625 0.625 0.125
Ir 0.625 0.625 0.625

---

(2)
La2Ho4ErSc: relaxed, PBE-GGA.

Computed properties:
DFT formation energy, eV/atom: 0.419
DFT total energy, eV per atom: -4.46

Lattice parameters (Å, degrees): 9.270 9.270 6.743 108.85 108.85 87.78
Fractional coordinates of all 16 atoms:
La 0.000 0.000 0.000
La 0.000 0.000 0.500
La 0.000 0.500 0.000
La 0.500 0.000 0.500
Ho 0.261 0.737 0.503
Ho 0.263 0.739 0.997
Ho 0.264 0.280 0.620
Ho 0.280 0.264 0.120
Ho 0.720 0.736 0.880
Ho 0.736 0.720 0.380
Ho 0.737 0.261 0.003
Ho 0.739 0.263 0.497
Er 0.000 0.500 0.500
Er 0.500 0.000 0.000
Sc 0.500 0.500 0.000
Sc 0.500 0.500 0.500

---

(3)
Zr3ReAs: relaxed, PBE-GGA.

Computed properties:
DFT formation energy, eV/atom: 0.578
Offset from the most stable computed form, meV/atom: 79.1
DFT total energy, eV per atom: -7.97

Lattice parameters (Å, degrees): 4.900 4.900 4.900 90.00 90.00 90.00
Fractional coordinates of all 5 atoms:
Zr 0.000 0.000 0.500
Zr 0.000 0.500 0.000
Zr 0.500 0.000 0.000
Re 0.500 0.500 0.500
As 0.000 0.000 0.000

---

(4)
Re2SbSe: relaxed, PBE-GGA.

Computed properties:
Uncorrected formation energy, eV per atom: 0.28
Offset from the most stable computed form, meV/atom: 98.4
DFT total energy, eV per atom: -7.84

Lattice parameters (Å, degrees): 10.243 10.243 10.243 17.08 17.08 17.08
Fractional coordinates of all 4 atoms:
Re 0.000 0.000 0.000
Re 0.263 0.263 0.263
Sb 0.739 0.739 0.739
Se 0.536 0.536 0.536

---

Question: What is the DFT total energy in the fourth record?
Answer: -7.84 eV per atom